Here is a relaxed Tl12Hg3As crystal from the Alexandria database. Energies are from PBE-GGA.

The structure in CIF format:
```
data_Tl12Hg3As
_cell_length_a 4.883
_cell_length_b 4.883
_cell_length_c 20.141
_cell_angle_alpha 90.00
_cell_angle_beta 90.00
_cell_angle_gamma 90.00
_space_group_name_H-M_alt 'P 4/m m m'
_space_group_IT_number 123
_space_group_name_Hall '-P 4 2'
loop_
_atom_site_label
_atom_site_fract_x
_atom_site_fract_y
_atom_site_fract_z
_atom_site_occupancy
Tl1 0.000 0.000 0.000 1
Tl2 0.000 0.000 0.246 1
Tl3 0.000 0.000 0.500 1
Tl4 0.000 0.500 0.114 1
Tl5 0.000 0.500 0.376 1
Hg1 0.500 0.500 0.253 1
Hg2 0.500 0.500 0.500 1
As1 0.500 0.500 0.000 1
```

Summary:
Energy (eV per formula unit): -33.55
ΔE_f (meV/atom): 24.7

Here is a relaxed Tl2HgAs2 crystal from the Alexandria database. Energies are from PBE-GGA.

The structure in CIF format:
```
data_Tl2HgAs2
_cell_length_a 3.910
_cell_length_b 3.910
_cell_length_c 19.296
_cell_angle_alpha 90.00
_cell_angle_beta 90.00
_cell_angle_gamma 90.00
_space_group_name_H-M_alt 'I 4/m m m'
_space_group_IT_number 139
_space_group_name_Hall '-I 4 2'
loop_
_atom_site_label
_atom_site_fract_x
_atom_site_fract_y
_atom_site_fract_z
_atom_site_occupancy
Tl1 0.000 0.000 0.121 1
Hg1 0.000 0.000 0.500 1
As1 0.000 0.500 0.250 1
```

Summary:
Energy (eV per formula unit): -14.18
ΔE_f (meV/atom): 30.1
Excess energy over the best structure of this formula in the dataset (eV per atom): 0.000

Here is a relaxed Tl2HgAs2 crystal from the Alexandria database. Energies are from PBE-GGA.

The structure in CIF format:
```
data_Tl2HgAs2
_cell_length_a 9.267
_cell_length_b 9.267
_cell_length_c 3.772
_cell_angle_alpha 90.00
_cell_angle_beta 90.00
_cell_angle_gamma 90.00
_space_group_name_H-M_alt 'P 4/m b m'
_space_group_IT_number 127
_space_group_name_Hall '-P 4 2ab'
loop_
_atom_site_label
_atom_site_fract_x
_atom_site_fract_y
_atom_site_fract_z
_atom_site_occupancy
Tl1 0.179 0.321 0.000 1
Hg1 0.000 0.000 0.000 1
As1 0.088 0.588 0.500 1
```

Summary:
Energy (eV per formula unit): -13.53
ΔE_f (meV/atom): 160.6
Excess energy over the best structure of this formula in the dataset (eV per atom): 0.131

Here is a relaxed TlHg2As crystal from the Alexandria database. Energies are from PBE-GGA.

The structure in CIF format:
```
data_TlHg2As
_cell_length_a 4.225
_cell_length_b 4.542
_cell_length_c 11.292
_cell_angle_alpha 90.00
_cell_angle_beta 90.00
_cell_angle_gamma 90.00
_space_group_name_H-M_alt 'C m m 2'
_space_group_IT_number 35
loop_
_space_group_symop_operation_xyz
'x,y,z'
'-x,-y,z'
'-x,y,z'
'x,-y,z'
'x+1/2,y+1/2,z'
'-x+1/2,-y+1/2,z'
'-x+1/2,y+1/2,z'
'x+1/2,-y+1/2,z'
loop_
_atom_site_label
_atom_site_fract_x
_atom_site_fract_y
_atom_site_fract_z
_atom_site_occupancy
Tl1 0.000 0.000 0.000 1
Hg1 0.000 0.000 0.455 1
Hg2 0.000 0.500 0.716 1
As1 0.000 0.500 0.215 1
```

Summary:
Energy (eV per formula unit): -6.95
ΔE_f (meV/atom): 166.4
Excess energy over the best structure of this formula in the dataset (eV per atom): 0.050

Q: What is the ΔE_f in the third record?
A: 160.6 meV/atom

Q: Number 3 is which compound?
A: Tl2HgAs2

Q: The highest ΔE_f belongs to which entry?
A: TlHg2As

Q: Among the records above, which one has the highest energy?
A: TlHg2As